No. 1
{
  "formula": "Ca2Mg2Cu",
  "functional": "SCAN",
  "state": "single point on PBEsol structure",
  "volume_a3_per_atom": 25.6,
  "spacegroup": "C2/c, No. 15",
  "delta_e_f_ev_per_atom": -0.07,
  "polymorph_energy_ev_per_fu": 0.07,
  "total_energy_ha_per_atom": -0.3294,
  "n_ef_per_ev_fu": 3.08,
  "lattice_angstrom": [[5.771, -3.257, 0.000], [5.771, 3.257, 0.000], [-2.139, 0.000, 6.802]],
  "species": ["Ca", "Ca", "Ca", "Ca", "Mg", "Mg", "Mg", "Mg", "Cu", "Cu"],
  "fractional_positions": [[0.065, 0.236, 0.132], [0.236, 0.065, 0.632], [0.764, 0.935, 0.368], [0.935, 0.764, 0.868], [0.294, 0.497, 0.531], [0.497, 0.294, 0.031], [0.503, 0.706, 0.969], [0.706, 0.503, 0.469], [0.270, 0.730, 0.250], [0.730, 0.270, 0.750]]
}

No. 2
{
  "formula": "LiB2Cl",
  "functional": "SCAN",
  "state": "single point on PBEsol structure",
  "volume_a3_per_atom": 12.9,
  "spacegroup": "Fm-3m, No. 225",
  "total_energy_ha_per_atom": -0.1610,
  "n_ef_per_ev_fu": 3.33,
  "lattice_angstrom": [[0.000, 2.954, 2.954], [2.954, 0.000, 2.954], [2.954, 2.954, 0.000]],
  "species": ["Li", "B", "B", "Cl"],
  "fractional_positions": [[0.000, 0.000, 0.000], [0.250, 0.250, 0.250], [0.750, 0.750, 0.750], [0.500, 0.500, 0.500]]
}

No. 3
{
  "formula": "TaMoW2",
  "functional": "SCAN",
  "state": "single point on PBEsol structure",
  "volume_a3_per_atom": 16.0,
  "spacegroup": "Cmmm, No. 65",
  "delta_e_f_ev_per_atom": -0.07,
  "polymorph_energy_ev_per_fu": 0.23,
  "total_energy_ha_per_atom": -2.2152,
  "n_ef_per_ev_fu": 1.72,
  "lattice_angstrom": [[1.583, -2.255, 0.000], [1.583, 2.255, 0.000], [0.000, 0.000, 8.946]],
  "species": ["Ta", "Mo", "W", "W"],
  "fractional_positions": [[0.000, 0.000, 0.000], [0.000, 0.000, 0.500], [0.500, 0.500, 0.256], [0.500, 0.500, 0.744]]
}

No. 4
{
  "formula": "SiAg2P",
  "functional": "SCAN",
  "state": "single point on PBEsol structure",
  "volume_a3_per_atom": 16.1,
  "spacegroup": "I-4m2, No. 119",
  "polymorph_energy_ev_per_fu": 0.24,
  "total_energy_ha_per_atom": -0.7457,
  "n_ef_per_ev_fu": 1.37,
  "lattice_angstrom": [[-1.994, 1.994, 4.041], [1.994, -1.994, 4.041], [1.994, 1.994, -4.041]],
  "species": ["Si", "Ag", "Ag", "P"],
  "fractional_positions": [[0.000, 0.000, 0.000], [0.500, 0.500, 0.000], [0.750, 0.250, 0.500], [0.250, 0.750, 0.500]]
}

No. 5
{
  "formula": "RbZn3Au",
  "functional": "SCAN",
  "state": "single point on PBEsol structure",
  "volume_a3_per_atom": 24.3,
  "spacegroup": "Pm-3m, No. 221",
  "delta_e_f_ev_per_atom": -0.14,
  "polymorph_energy_ev_per_fu": 0.00,
  "total_energy_ha_per_atom": -0.9640,
  "n_ef_per_ev_fu": 0.82,
  "lattice_angstrom": [[4.954, 0.000, 0.000], [0.000, 4.954, 0.000], [0.000, 0.000, 4.954]],
  "species": ["Rb", "Zn", "Zn", "Zn", "Au"],
  "fractional_positions": [[0.000, 0.000, 0.000], [0.000, 0.500, 0.500], [0.500, 0.000, 0.500], [0.500, 0.500, 0.000], [0.500, 0.500, 0.500]]
}

No. 6
{
  "formula": "TeRh2Au",
  "functional": "SCAN",
  "state": "single point on PBEsol structure",
  "volume_a3_per_atom": 17.2,
  "spacegroup": "C2/m, No. 12",
  "total_energy_ha_per_atom": -1.5999,
  "n_ef_per_ev_fu": 1.66,
  "lattice_angstrom": [[3.882, -1.742, 0.000], [3.882, 1.742, 0.000], [-1.527, 0.000, 5.075]],
  "species": ["Te", "Rh", "Rh", "Au"],
  "fractional_positions": [[0.000, 0.000, 0.000], [0.255, 0.255, 0.773], [0.745, 0.745, 0.227], [0.500, 0.500, 0.500]]
}

No. 7
{
  "formula": "LaSn3O",
  "functional": "SCAN",
  "state": "single point on PBEsol structure",
  "volume_a3_per_atom": 22.4,
  "spacegroup": "Pm-3m, No. 221",
  "total_energy_ha_per_atom": -1.1797,
  "n_ef_per_ev_fu": 2.22,
  "lattice_angstrom": [[4.821, 0.000, 0.000], [0.000, 4.821, 0.000], [0.000, 0.000, 4.821]],
  "species": ["La", "Sn", "Sn", "Sn", "O"],
  "fractional_positions": [[0.000, 0.000, 0.000], [0.000, 0.500, 0.500], [0.500, 0.000, 0.500], [0.500, 0.500, 0.000], [0.500, 0.500, 0.500]]
}

No. 8
{
  "formula": "Ge3RhBr",
  "functional": "SCAN",
  "state": "single point on PBEsol structure",
  "volume_a3_per_atom": 21.6,
  "spacegroup": "Pm-3m, No. 221",
  "total_energy_ha_per_atom": -0.8107,
  "n_ef_per_ev_fu": 4.16,
  "lattice_angstrom": [[4.764, 0.000, 0.000], [0.000, 4.764, 0.000], [0.000, 0.000, 4.764]],
  "species": ["Ge", "Ge", "Ge", "Rh", "Br"],
  "fractional_positions": [[0.000, 0.000, 0.500], [0.000, 0.500, 0.000], [0.500, 0.000, 0.000], [0.000, 0.000, 0.000], [0.500, 0.500, 0.500]]
}

No. 9
{
  "formula": "Tl2NiSb",
  "functional": "SCAN",
  "state": "single point on PBEsol structure",
  "volume_a3_per_atom": 24.6,
  "spacegroup": "R3m, No. 160",
  "total_energy_ha_per_atom": -1.8193,
  "n_ef_per_ev_fu": 1.91,
  "lattice_angstrom": [[2.053, 1.185, 6.737], [-2.053, 1.185, 6.737], [0.000, -2.371, 6.737]],
  "species": ["Tl", "Tl", "Ni", "Sb"],
  "fractional_positions": [[0.000, 0.000, 0.000], [0.220, 0.220, 0.220], [0.480, 0.480, 0.480], [0.776, 0.776, 0.776]]
}

No. 10
{
  "formula": "InTcTe2",
  "functional": "SCAN",
  "state": "single point on PBEsol structure",
  "volume_a3_per_atom": 25.2,
  "spacegroup": "Amm2, No. 38",
  "total_energy_ha_per_atom": -1.3113,
  "n_ef_per_ev_fu": 2.73,
  "lattice_angstrom": [[3.233, 0.000, 0.000], [0.000, 2.155, 7.226], [0.000, -2.155, 7.226]],
  "species": ["In", "Tc", "Te", "Te"],
  "fractional_positions": [[0.000, 0.000, 0.000], [0.500, 0.467, 0.467], [0.000, 0.327, 0.327], [0.500, 0.654, 0.654]]
}

No. 11
{
  "formula": "YSiOs4",
  "functional": "SCAN",
  "state": "single point on PBEsol structure",
  "volume_a3_per_atom": 16.5,
  "spacegroup": "F-43m, No. 216",
  "total_energy_ha_per_atom": -1.9829,
  "n_ef_per_ev_fu": 6.14,
  "lattice_angstrom": [[0.000, 3.673, 3.673], [3.673, 0.000, 3.673], [3.673, 3.673, 0.000]],
  "species": ["Y", "Si", "Os", "Os", "Os", "Os"],
  "fractional_positions": [[0.000, 0.000, 0.000], [0.750, 0.750, 0.750], [0.376, 0.376, 0.376], [0.376, 0.376, 0.873], [0.376, 0.873, 0.376], [0.873, 0.376, 0.376]]
}

No. 12
{
  "formula": "Ca5Y",
  "functional": "SCAN",
  "state": "single point on PBEsol structure",
  "volume_a3_per_atom": 38.2,
  "spacegroup": "P-62m, No. 189",
  "delta_e_f_ev_per_atom": 0.08,
  "polymorph_energy_ev_per_fu": 0.18,
  "total_energy_ha_per_atom": -0.4634,
  "n_ef_per_ev_fu": 7.89,
  "lattice_angstrom": [[6.529, 0.000, 0.000], [-3.265, 5.654, 0.000], [0.000, 0.000, 6.203]],
  "species": ["Ca", "Ca", "Ca", "Ca", "Ca", "Y"],
  "fractional_positions": [[0.000, 0.325, 0.000], [0.325, 0.000, 0.000], [0.333, 0.667, 0.500], [0.667, 0.333, 0.500], [0.675, 0.675, 0.000], [0.000, 0.000, 0.500]]
}

No. 13
{
  "formula": "SmLuO3",
  "functional": "SCAN",
  "state": "single point on PBEsol structure",
  "volume_a3_per_atom": 13.5,
  "spacegroup": "Pnma, No. 62",
  "total_energy_ha_per_atom": -1.0142,
  "n_ef_per_ev_fu": 0.00,
  "lattice_angstrom": [[5.880, 0.000, 0.000], [0.000, 8.187, 0.000], [0.000, 0.000, 5.615]],
  "species": ["Sm", "Sm", "Sm", "Sm", "Lu", "Lu", "Lu", "Lu", "O", "O", "O", "O", "O", "O", "O", "O", "O", "O", "O", "O"],
  "fractional_positions": [[0.058, 0.250, 0.020], [0.442, 0.750, 0.520], [0.558, 0.250, 0.480], [0.942, 0.750, 0.980], [0.000, 0.000, 0.500], [0.000, 0.500, 0.500], [0.500, 0.000, 0.000], [0.500, 0.500, 0.000], [0.062, 0.750, 0.365], [0.195, 0.572, 0.808], [0.195, 0.928, 0.808], [0.305, 0.072, 0.308], [0.305, 0.428, 0.308], [0.438, 0.250, 0.865], [0.562, 0.750, 0.135], [0.695, 0.572, 0.692], [0.695, 0.928, 0.692], [0.805, 0.072, 0.192], [0.805, 0.428, 0.192], [0.938, 0.250, 0.635]]
}

No. 14
{
  "formula": "TiFeP",
  "functional": "SCAN",
  "state": "single point on PBEsol structure",
  "volume_a3_per_atom": 11.8,
  "spacegroup": "P-62m, No. 189",
  "delta_e_f_ev_per_atom": -0.99,
  "total_energy_ha_per_atom": -0.5824,
  "n_ef_per_ev_fu": 2.19,
  "lattice_angstrom": [[5.900, 0.000, 0.000], [-2.950, 5.109, 0.000], [0.000, 0.000, 3.538]],
  "species": ["Ti", "Ti", "Ti", "Fe", "Fe", "Fe", "P", "P", "P"],
  "fractional_positions": [[0.000, 0.580, 0.000], [0.420, 0.420, 0.000], [0.580, 0.000, 0.000], [0.000, 0.243, 0.500], [0.243, 0.000, 0.500], [0.757, 0.757, 0.500], [0.000, 0.000, 0.000], [0.333, 0.667, 0.500], [0.667, 0.333, 0.500]]
}

No. 15
{
  "formula": "Mn3InGe",
  "functional": "SCAN",
  "state": "single point on PBEsol structure",
  "volume_a3_per_atom": 18.1,
  "spacegroup": "Pm-3m, No. 221",
  "delta_e_f_ev_per_atom": 0.24,
  "total_energy_ha_per_atom": -0.7794,
  "n_ef_per_ev_fu": 2.48,
  "lattice_angstrom": [[4.490, 0.000, 0.000], [0.000, 4.490, 0.000], [0.000, 0.000, 4.490]],
  "species": ["Mn", "Mn", "Mn", "In", "Ge"],
  "fractional_positions": [[0.000, 0.000, 0.500], [0.000, 0.500, 0.000], [0.500, 0.000, 0.000], [0.500, 0.500, 0.500], [0.000, 0.000, 0.000]]
}

No. 16
{
  "formula": "BeCu2Mo",
  "functional": "SCAN",
  "state": "single point on PBEsol structure",
  "volume_a3_per_atom": 11.6,
  "spacegroup": "F-43m, No. 216",
  "delta_e_f_ev_per_atom": 0.27,
  "total_energy_ha_per_atom": -0.6298,
  "n_ef_per_ev_fu": 3.20,
  "lattice_angstrom": [[0.000, 2.855, 2.855], [2.855, 0.000, 2.855], [2.855, 2.855, 0.000]],
  "species": ["Be", "Cu", "Cu", "Mo"],
  "fractional_positions": [[0.000, 0.000, 0.000], [0.500, 0.500, 0.500], [0.750, 0.750, 0.750], [0.250, 0.250, 0.250]]
}

No. 17
{
  "formula": "Ta2CrPt",
  "functional": "SCAN",
  "state": "single point on PBEsol structure",
  "volume_a3_per_atom": 15.6,
  "spacegroup": "C2/m, No. 12",
  "delta_e_f_ev_per_atom": -0.05,
  "total_energy_ha_per_atom": -2.0392,
  "n_ef_per_ev_fu": 3.70,
  "lattice_angstrom": [[4.531, -1.362, 0.000], [4.531, 1.362, 0.000], [-0.457, 0.000, 5.052]],
  "species": ["Ta", "Ta", "Cr", "Pt"],
  "fractional_positions": [[0.241, 0.241, 0.256], [0.759, 0.759, 0.744], [0.000, 0.000, 0.500], [0.500, 0.500, 0.000]]
}

No. 18
{
  "formula": "In3MoN",
  "functional": "SCAN",
  "state": "single point on PBEsol structure",
  "volume_a3_per_atom": 28.6,
  "spacegroup": "Pm-3m, No. 221",
  "total_energy_ha_per_atom": -1.0104,
  "n_ef_per_ev_fu": 2.77,
  "lattice_angstrom": [[5.232, 0.000, 0.000], [0.000, 5.232, 0.000], [0.000, 0.000, 5.232]],
  "species": ["In", "In", "In", "Mo", "N"],
  "fractional_positions": [[0.000, 0.000, 0.500], [0.000, 0.500, 0.000], [0.500, 0.000, 0.000], [0.000, 0.000, 0.000], [0.500, 0.500, 0.500]]
}

No. 19
{
  "formula": "SrYMg2",
  "functional": "SCAN",
  "state": "single point on PBEsol structure",
  "volume_a3_per_atom": 31.5,
  "spacegroup": "R-3m, No. 166",
  "delta_e_f_ev_per_atom": 0.12,
  "polymorph_energy_ev_per_fu": 0.64,
  "total_energy_ha_per_atom": -0.5473,
  "n_ef_per_ev_fu": 3.98,
  "lattice_angstrom": [[1.815, 1.048, 11.041], [-1.815, 1.048, 11.041], [0.000, -2.096, 11.041]],
  "species": ["Sr", "Y", "Mg", "Mg"],
  "fractional_positions": [[0.000, 0.000, 0.000], [0.500, 0.500, 0.500], [0.245, 0.245, 0.245], [0.755, 0.755, 0.755]]
}

No. 20
{
  "formula": "HfAlTl2Re",
  "functional": "SCAN",
  "state": "single point on PBEsol structure",
  "volume_a3_per_atom": 24.9,
  "spacegroup": "P4/mmm, No. 123",
  "delta_e_f_ev_per_atom": 1.09,
  "total_energy_ha_per_atom": -2.0636,
  "n_ef_per_ev_fu": 4.45,
  "lattice_angstrom": [[5.162, 0.000, 0.000], [0.000, 5.162, 0.000], [0.000, 0.000, 4.671]],
  "species": ["Hf", "Al", "Tl", "Tl", "Re"],
  "fractional_positions": [[0.000, 0.000, 0.000], [0.500, 0.500, 0.000], [0.000, 0.500, 0.500], [0.500, 0.000, 0.500], [0.500, 0.500, 0.500]]
}